Entry 1:
Material: LaPm2Sn9
Method: DFT, PBE
State: relaxed

Summary:
DFT total energy: -56.682 eV for the cell shown

Cell: 4.8112 4.8112 14.1144 Å, 90.00 90.00 90.00°
Last column: nearest neighbours and their distance in Å.
Positions (direct):
La: 0.0000 0.0000 0.0000  12 Sn 3.39-3.40
Sn: 0.0000 0.5000 0.5000  8 Sn 3.35-3.40, 4 Pm 3.35
Sn: 0.5000 0.0000 0.8307  2 Pm 3.35, 8 Sn 3.35-3.40, 2 La 3.39
Sn: 0.0000 0.5000 0.1693  2 Pm 3.35, 8 Sn 3.35-3.40, 2 La 3.39
Sn: 0.5000 0.5000 0.3347  8 Sn 3.35, 4 Pm 3.40
Sn: 0.5000 0.0000 0.1693  2 Pm 3.35, 8 Sn 3.35-3.40, 2 La 3.39
Sn: 0.5000 0.5000 0.0000  8 Sn 3.39, 4 La 3.40
Sn: 0.0000 0.5000 0.8307  2 Pm 3.35, 8 Sn 3.35-3.40, 2 La 3.39
Sn: 0.5000 0.5000 0.6653  8 Sn 3.35, 4 Pm 3.40
Sn: 0.5000 0.0000 0.5000  8 Sn 3.35-3.40, 4 Pm 3.35
Pm: 0.0000 0.0000 0.6655  12 Sn 3.35-3.40
Pm: 0.0000 0.0000 0.3345  12 Sn 3.35-3.40

---

Entry 2:
Material: LaPm7Sn5
Method: DFT, PBE
State: relaxed

Summary:
DFT total energy: -64.560 eV for the cell shown

Cell: 6.5429 8.4827 8.4827 Å, 82.70 67.32 67.32°
Last column: nearest neighbours and their distance in Å.
Positions (direct):
Pm: 0.2688 0.2312 0.2312  4 Sn 3.16, 4 Pm 3.35-3.43
Pm: 0.0021 0.3365 0.6592  5 Sn 3.27-3.39, 2 Pm 3.43-3.62
Pm: 0.0021 0.6592 0.3365  5 Sn 3.27-3.39, 2 Pm 3.43-3.62
Pm: 0.5157 0.8072 0.1613  5 Sn 3.25-3.33, 1 Pm 3.35
Pm: 0.6321 0.3679 0.3679  4 Sn 3.41, 3 Pm 3.55-3.60, 1 La 3.62
Pm: 0.5157 0.1613 0.8072  5 Sn 3.25-3.33, 1 Pm 3.35
Pm: 0.3070 0.6930 0.6930  6 Sn 3.32-3.41, 1 Pm 3.55
Sn: 0.5160 0.4785 0.0013  7 Pm 3.16-3.41, 3 Sn 3.19-3.35
Sn: 0.0042 0.4785 0.0013  7 Pm 3.16-3.41, 3 Sn 3.19-3.35
Sn: 0.0042 0.0013 0.4785  7 Pm 3.16-3.41, 3 Sn 3.19-3.35
Sn: 0.5160 0.0013 0.4785  7 Pm 3.16-3.41, 3 Sn 3.19-3.35
Sn: 0.7527 0.7473 0.7473  6 Pm 3.26-3.32, 4 Sn 3.34
La: 0.9632 0.0368 0.0368  10 Pm 3.62-3.90, 4 Sn 3.83

---

Entry 3:
Material: La8Pm2Sn
Method: DFT, PBE
State: relaxed

Summary:
DFT total energy: -54.420 eV for the cell shown

Cell: 5.0468 8.2906 9.7656 Å, 104.94 104.97 90.00°
Last column: nearest neighbours and their distance in Å.
Positions (direct):
Pm: 0.2272 0.6364 0.4544  2 Pm 3.64, 10 La 3.67-3.78
Pm: 0.7728 0.3636 0.5456  2 Pm 3.64, 10 La 3.67-3.78
La: 0.1337 0.1773 0.2675  7 La 3.57-3.87, 2 Sn 3.59, 3 Pm 3.67-3.74
La: 0.3252 0.0890 0.6504  8 La 3.55-3.87, 1 Sn 3.57, 3 Pm 3.70-3.71
La: 0.4106 0.5586 0.8212  8 La 3.58-3.80, 1 Sn 3.60, 3 Pm 3.67-3.69
La: 0.5894 0.4414 0.1788  8 La 3.58-3.80, 1 Sn 3.60, 3 Pm 3.67-3.69
La: 0.6748 0.9110 0.3496  8 La 3.55-3.87, 1 Sn 3.57, 3 Pm 3.70-3.71
La: 0.9564 0.2605 0.9127  9 La 3.55-3.87, 2 Sn 3.56, 1 Pm 3.78
La: 0.8663 0.8227 0.7325  7 La 3.57-3.87, 2 Sn 3.59, 3 Pm 3.67-3.74
La: 0.0436 0.7395 0.0873  9 La 3.55-3.87, 2 Sn 3.56, 1 Pm 3.78
Sn: 0.5000 0.0000 0.0000  12 La 3.56-3.60

---

Entry 4:
Material: LaPm7Sn4
Method: DFT, PBE
State: relaxed

Summary:
DFT total energy: -57.916 eV for the cell shown

Cell: 5.8658 9.7307 7.6403 Å, 79.67 67.43 72.46°
Last column: nearest neighbours and their distance in Å.
Positions (direct):
Sn: 0.5677 0.2309 0.6338  7 Pm 3.05-3.38, 1 Sn 3.26
Sn: 0.3023 0.3266 0.0688  6 Pm 3.10-3.28, 1 Sn 3.26
Sn: 0.6977 0.6734 0.9312  6 Pm 3.10-3.28, 1 Sn 3.26
Sn: 0.4323 0.7691 0.3662  7 Pm 3.05-3.38, 1 Sn 3.26
Pm: 0.7891 0.8844 0.5375  2 Pm 3.21-3.51, 4 Sn 3.28-3.38
Pm: 0.0580 0.6261 0.2579  3 Sn 3.17-3.33, 1 Pm 3.21
Pm: 0.9420 0.3739 0.7421  3 Sn 3.17-3.33, 1 Pm 3.21
Pm: 0.2109 0.1156 0.4625  2 Pm 3.21-3.51, 4 Sn 3.28-3.38
Pm: 0.6782 0.3984 0.2451  4 Sn 3.05-3.27
Pm: 0.5000 0.0000 0.0000  2 La 2.93, 4 Sn 3.10-3.23
Pm: 0.3218 0.6016 0.7549  4 Sn 3.05-3.27
La: 0.0000 0.0000 0.0000  2 Pm 2.93

---

Entry 5:
Material: La2PmSn
Method: DFT, PBE
State: relaxed

Summary:
Excess energy over the best structure of this formula in the dataset: 275 meV/atom

Cell: 3.7410 3.7410 11.4360 Å, 80.59 80.59 60.00°
Last column: nearest neighbours and their distance in Å.
Positions (direct):
La: 0.2557 0.2557 0.2328  3 Sn 3.38, 3 Pm 3.68, 6 La 3.74
La: 0.0775 0.0775 0.7674  3 Sn 3.40, 3 Pm 3.71, 6 La 3.74
Sn: 0.6662 0.6662 0.0014  6 La 3.38-3.40, 6 Sn 3.74
Pm: 0.5005 0.5005 0.4984  6 La 3.68-3.71, 6 Pm 3.74

---

Entry 6:
Material: La5Pm2Sn4
Method: DFT, PBE
State: relaxed

Summary:
DFT total energy: -51.566 eV for the cell shown

Cell: 3.6715 8.9271 12.3827 Å, 113.28 98.53 90.00°
Last column: nearest neighbours and their distance in Å.
Positions (direct):
La: 0.5000 0.0000 0.0000  4 Sn 3.39, 6 La 3.59-3.67
La: 0.1219 0.2945 0.2438  3 Sn 3.36-3.38, 3 Pm 3.46-3.70, 4 La 3.59-3.67
La: 0.1621 0.9111 0.3241  3 Sn 3.33-3.39, 2 La 3.67
La: 0.8379 0.0889 0.6759  3 Sn 3.33-3.39, 2 La 3.67
La: 0.8781 0.7055 0.7562  3 Sn 3.36-3.38, 3 Pm 3.46-3.70, 4 La 3.59-3.67
Sn: 0.0152 0.6990 0.0303  5 Sn 3.17-3.33, 4 La 3.33-3.39
Sn: 0.4081 0.4319 0.8162  1 Pm 3.16, 4 Sn 3.17-3.31, 4 La 3.36-3.39
Sn: 0.9848 0.3010 0.9697  5 Sn 3.17-3.33, 4 La 3.33-3.39
Sn: 0.5919 0.5681 0.1838  1 Pm 3.16, 4 Sn 3.17-3.31, 4 La 3.36-3.39
Pm: 0.2702 0.3505 0.5405  1 Sn 3.16, 1 La 3.46
Pm: 0.7298 0.6495 0.4595  1 Sn 3.16, 1 La 3.46

---

Entry 7:
Material: LaPm12Sn6
Method: DFT, PBE
State: relaxed

Summary:
DFT total energy: -92.535 eV for the cell shown

Cell: 8.9796 8.9796 8.9796 Å, 103.48 103.48 103.48°
Last column: nearest neighbours and their distance in Å.
Positions (direct):
Sn: 0.7465 0.7465 0.2863  7 Pm 3.06-3.33
Sn: 0.7137 0.2535 0.2535  7 Pm 3.06-3.33
Sn: 0.2863 0.7465 0.7465  7 Pm 3.06-3.33
Sn: 0.2535 0.7137 0.2535  7 Pm 3.06-3.33
Sn: 0.2535 0.2535 0.7137  7 Pm 3.06-3.33
Sn: 0.7465 0.2863 0.7465  7 Pm 3.06-3.33
Pm: 0.8842 0.1158 0.5000  4 Sn 3.06-3.20, 1 Pm 3.26
Pm: 0.8279 0.5657 0.5657  3 Sn 3.23-3.33
Pm: 0.5000 0.1158 0.8842  4 Sn 3.06-3.20, 1 Pm 3.26
Pm: 0.5657 0.5657 0.8279  3 Sn 3.23-3.33
Pm: 0.5657 0.8279 0.5657  3 Sn 3.23-3.33
Pm: 0.1721 0.4343 0.4343  3 Sn 3.23-3.33
Pm: 0.1158 0.8842 0.5000  4 Sn 3.06-3.20, 1 Pm 3.26
Pm: 0.4343 0.4343 0.1721  3 Sn 3.23-3.33
Pm: 0.4343 0.1721 0.4343  3 Sn 3.23-3.33
Pm: 0.5000 0.8842 0.1158  4 Sn 3.06-3.20, 1 Pm 3.26
Pm: 0.1158 0.5000 0.8842  4 Sn 3.06-3.20, 1 Pm 3.26
Pm: 0.8842 0.5000 0.1158  4 Sn 3.06-3.20, 1 Pm 3.26
La: 0.0000 0.0000 0.0000  6 Sn 4.47, 18 Pm 4.48-4.78

---

Entry 8:
Material: LaPm5Sn3
Method: DFT, PBE
State: relaxed

Summary:
DFT total energy: -92.020 eV for the cell shown

Cell: 6.7514 9.6177 9.6172 Å, 120.00 90.00 90.00°
Last column: nearest neighbours and their distance in Å.
Positions (direct):
Pm: 0.7500 0.6673 0.6673  5 Sn 3.19-3.38
Pm: 0.5000 0.3333 0.6667  8 Pm 3.38-3.63, 6 Sn 3.61
Pm: 0.2500 0.6673 0.0000  5 Sn 3.19-3.38
Pm: 0.5000 0.6667 0.3333  8 Pm 3.38-3.63, 6 Sn 3.61
Pm: 0.7500 0.0000 0.3327  5 Sn 3.19-3.38
Pm: 0.2500 0.3327 0.3327  5 Sn 3.19-3.38
Pm: 0.0000 0.6667 0.3333  8 Pm 3.38-3.63, 6 Sn 3.61
Pm: 0.0000 0.3333 0.6667  8 Pm 3.38-3.63, 6 Sn 3.61
Pm: 0.2500 0.0000 0.6673  5 Sn 3.19-3.38
Pm: 0.7500 0.3327 0.0000  5 Sn 3.19-3.38
Sn: 0.2500 0.3358 0.0000  5 Pm 3.19-3.38
Sn: 0.7500 0.6642 0.0000  5 Pm 3.19-3.38
Sn: 0.2500 0.0000 0.3358  5 Pm 3.19-3.38
Sn: 0.2500 0.6642 0.6642  5 Pm 3.19-3.38
Sn: 0.7500 0.0000 0.6642  5 Pm 3.19-3.38
Sn: 0.7500 0.3358 0.3358  5 Pm 3.19-3.38
La: 0.0000 0.0000 0.0000  2 La 3.38, 6 Pm 3.62, 6 Sn 3.64
La: 0.5000 0.0000 0.0000  2 La 3.38, 6 Pm 3.62, 6 Sn 3.64

---

| no. | density of states at the Fermi level (states/eV/f.u.) |
| --- | --- |
| 1 | 7.678 |
| 2 | 12.678 |
| 3 | 15.442 |
| 4 | 13.373 |
| 5 | 4.814 |
| 6 | 15.774 |
| 7 | 30.057 |
| 8 | 10.114 |